1 | # MnBOs3

A relaxed structure of MnBOs3 (GGA-PBE, the Alexandria database).

Output
Magnetization ... 0.79 μB per cell

Unit cell a=4.3890 b=4.3890 c=4.3890 alpha=90.00 beta=90.00 gamma=90.00
Closest atoms and distances in Å follow each position.
Space group Pm-3m (No. 221)
Asymmetric unit:
Mn: 0.0000 0.0000 0.0000  6 Os 2.19
B: 0.5000 0.5000 0.5000  12 Os 3.10
Os: 0.0000 0.0000 0.5000  2 Mn 2.19

2 | # MnBOs3

A relaxed structure of MnBOs3 (GGA-PBE, the Alexandria database).

Output
Magnetization ... 2.47 μB per cell

Unit cell a=4.0607 b=4.0607 c=4.0607 alpha=90.00 beta=90.00 gamma=90.00
Closest atoms and distances in Å follow each position.
Space group Pm-3m (No. 221)
Asymmetric unit:
Mn: 0.0000 0.0000 0.0000  12 Os 2.87
B: 0.5000 0.5000 0.5000  6 Os 2.03
Os: 0.0000 0.5000 0.5000  2 B 2.03

Most stable = 2

1 | # MnB2Os

A relaxed structure of MnB2Os (GGA-PBE, the Alexandria database).

Output
Magnetization ... 0.70 μB per cell

Unit cell a=4.5894 b=4.5894 c=9.3474 alpha=90.00 beta=90.00 gamma=90.00
Closest atoms and distances in Å follow each position.
Space group I-42d (No. 122)
Asymmetric unit:
Mn: 0.0000 0.0000 0.0000  4 B 1.98
B: 0.2431 0.2500 0.1250  2 Mn 1.98, 2 Os 2.02
Os: 0.0000 0.0000 0.5000  4 B 2.02

2 | # MnB2Os

A relaxed structure of MnB2Os (GGA-PBE, the Alexandria database).

Output
Magnetization ... 0.04 μB per cell

Unit cell a=5.2704 b=5.2704 c=5.2704 alpha=90.00 beta=90.00 gamma=90.00
Closest atoms and distances in Å follow each position.
Space group Fm-3m (No. 225)
Asymmetric unit:
Mn: 0.0000 0.0000 0.0000  8 B 2.28
B: 0.2500 0.2500 0.2500  4 Mn 2.28, 4 Os 2.28
Os: 0.0000 0.0000 0.5000  8 B 2.28

Most stable = 2